(1)
Material: Mg2Zn2CdAu2
Method: DFT, PBE
State: relaxed

extended XYZ file:
```
7
Lattice="4.355 0.000 0.000 -2.177 3.771 0.000 0.000 0.000 11.311" Properties=species:S:1:pos:R:3 pbc="T T T"
Zn 2.177 1.257 6.568
Cd 0.000 0.000 0.000
Mg 0.000 0.000 8.372
Zn 0.000 2.514 4.743
Au 2.177 1.257 3.921
Au 0.000 2.514 7.390
Mg 0.000 0.000 2.939
```

Summary:
SG: P-3m1
DFT formation energy: -0.075 eV per atom
DOS at the Fermi energy: 0.33 states/eV per atom

---

(2)
Material: Mg2Zn3CdAu6
Method: DFT, PBE
State: relaxed

extended XYZ file:
```
12
Lattice="3.970 0.000 0.000 0.000 3.970 0.000 0.000 0.000 15.331" Properties=species:S:1:pos:R:3 pbc="T T T"
Au 0.000 1.985 10.694
Zn 0.000 0.000 6.452
Mg 1.985 1.985 2.332
Mg 1.985 1.985 12.999
Zn 0.000 0.000 0.000
Au 1.985 0.000 10.694
Au 0.000 0.000 2.449
Cd 1.985 1.985 7.665
Zn 0.000 0.000 8.879
Au 1.985 0.000 4.637
Au 0.000 1.985 4.637
Au 0.000 0.000 12.882
```

Summary:
SG: P4/mmm
DFT formation energy: -0.164 eV per atom
DOS at the Fermi energy: 0.41 states/eV per atom

---

(3)
Material: MgZnCd2Au2
Method: DFT, PBE
State: relaxed

extended XYZ file:
```
12
Lattice="-2.443 -3.304 0.703 5.267 -3.935 -0.192 1.074 1.020 8.533" Properties=species:S:1:pos:R:3 pbc="T T T"
Au 4.217 -2.901 1.021
Zn 2.548 -3.912 2.830
Au 2.363 -0.193 7.311
Zn 0.333 -1.547 6.250
Mg 3.033 -1.225 4.783
Mg 5.514 -3.338 3.477
Cd 5.326 -2.507 6.732
Au 3.389 -4.012 5.287
Au 0.550 -2.239 3.754
Cd 2.725 -2.904 8.191
Cd 2.031 -1.168 1.571
Cd -0.835 -1.816 0.925
```

Summary:
SG: Pmc2_1
DFT formation energy: -0.275 eV per atom
DOS at the Fermi energy: 0.18 states/eV per atom

---

(4)
Material: MgZn2CdAu4
Method: DFT, PBE
State: relaxed

extended XYZ file:
```
8
Lattice="4.582 0.000 0.000 2.291 3.968 0.000 2.291 1.323 7.706" Properties=species:S:1:pos:R:3 pbc="T T T"
Au 4.582 2.645 6.620
Mg 4.582 2.645 3.853
Cd 0.000 0.000 0.000
Au 4.582 2.645 1.086
Au 2.291 1.323 4.747
Au 6.873 3.968 2.958
Zn 2.291 1.323 1.943
Zn 6.873 3.968 5.763
```

Summary:
SG: R-3m
DFT formation energy: -0.288 eV per atom
DOS at the Fermi energy: 0.23 states/eV per atom